The following is a PBE calculation of an optimized crystal structure of Tb2Pm4Pr2Mg, from Alexandria.

abc: 5.8908 6.7501 8.7762
angles: 80.65 71.05 65.73
Last column: nearest neighbours and their distance in Å.
Fractional coordinates of all 9 atoms:
Tb: 0.1713 0.2285 0.0350  5 Pm 3.40-3.76, 2 Tb 3.45-3.76, 2 Pr 3.48-3.51
Tb: 0.8287 0.7715 0.9650  5 Pm 3.40-3.76, 2 Tb 3.45-3.76, 2 Pr 3.48-3.51
Pm: 0.2142 0.4818 0.6179  1 Mg 3.31, 3 Pm 3.41-3.67, 1 Tb 3.47, 1 Pr 3.62
Pm: 0.2746 0.6909 0.1723  1 Mg 3.38, 3 Tb 3.40-3.50, 2 Pm 3.41-3.72, 1 Pr 3.67
Pm: 0.7254 0.3091 0.8277  1 Mg 3.38, 3 Tb 3.40-3.50, 2 Pm 3.41-3.72, 1 Pr 3.67
Pm: 0.7858 0.5182 0.3821  1 Mg 3.31, 3 Pm 3.41-3.67, 1 Tb 3.47, 1 Pr 3.62
Pr: 0.4296 0.8847 0.7131  2 Mg 3.39-3.60, 2 Tb 3.48-3.51, 4 Pm 3.62-3.74, 1 Pr 3.78
Pr: 0.5704 0.1153 0.2869  2 Mg 3.39-3.60, 2 Tb 3.48-3.51, 4 Pm 3.62-3.74, 1 Pr 3.78
Mg: 0.0000 0.0000 0.5000  4 Pm 3.31-3.38, 4 Pr 3.39-3.60

Computed properties:
Density of states at the Fermi level ... 1.364 states/eV/atom
Final energy ... -39.0 eV per cell
Symmetry ... P-1 (2)



The following is a PBE calculation of an optimized crystal structure of Tb2PmPrMg, from Alexandria.

abc: 6.1610 6.1610 11.2630
angles: 90.08 90.08 47.62
Last column: nearest neighbours and their distance in Å.
Fractional coordinates of all 10 atoms:
Tb: 0.1471 0.1471 0.0471  5 Mg 3.42-3.53, 3 Tb 3.48-3.56, 3 Pm 3.49-3.52, 1 Pr 3.57
Tb: 0.3452 0.3452 0.4478  3 Tb 3.49-3.68, 5 Pr 3.55-3.60, 3 Pm 3.56-3.63, 1 Mg 3.66
Tb: 0.6548 0.6548 0.5522  3 Tb 3.49-3.68, 5 Pr 3.55-3.60, 3 Pm 3.56-3.63, 1 Mg 3.66
Tb: 0.8529 0.8529 0.9529  5 Mg 3.42-3.53, 3 Tb 3.48-3.56, 3 Pm 3.49-3.52, 1 Pr 3.57
Pm: 0.2527 0.2527 0.7560  6 Tb 3.49-3.63, 3 Mg 3.55-3.59, 3 Pr 3.56-3.57
Pm: 0.7473 0.7473 0.2440  6 Tb 3.49-3.63, 3 Mg 3.55-3.59, 3 Pr 3.56-3.57
Pr: 0.0467 0.0467 0.3475  6 Tb 3.55-3.60, 3 Pm 3.56-3.57, 1 Pr 3.59, 2 Mg 3.60
Pr: 0.9533 0.9533 0.6525  6 Tb 3.55-3.60, 3 Pm 3.56-3.57, 1 Pr 3.59, 2 Mg 3.60
Mg: 0.4463 0.4463 0.1392  1 Mg 3.36, 6 Tb 3.42-3.66, 3 Pm 3.55-3.59, 2 Pr 3.60
Mg: 0.5537 0.5537 0.8608  1 Mg 3.36, 6 Tb 3.42-3.66, 3 Pm 3.55-3.59, 2 Pr 3.60

Computed properties:
Density of states at the Fermi level ... 1.337 states/eV/atom
Final energy ... -40.5 eV per cell
Symmetry ... C2/m (12)



The following is a PBE calculation of an optimized crystal structure of TbPmPrMg, from Alexandria.

abc: 3.6914 3.6914 9.2698
angles: 90.00 90.00 90.00
Last column: nearest neighbours and their distance in Å.
Fractional coordinates of all 4 atoms:
Tb: 0.0000 0.0000 0.0000  4 Mg 3.32, 4 Pm 3.58, 4 Tb 3.69
Pm: 0.5000 0.5000 0.2638  4 Tb 3.58, 4 Pr 3.66, 4 Pm 3.69
Pr: 0.0000 0.0000 0.5408  4 Mg 3.42, 4 Pm 3.66, 4 Pr 3.69
Mg: 0.5000 0.5000 0.7785  4 Tb 3.32, 4 Pr 3.42, 4 Mg 3.69

Computed properties:
Density of states at the Fermi level ... 1.100 states/eV/atom
Final energy ... -15.9 eV per cell
Symmetry ... P4mm (99)



The following is a PBE calculation of an optimized crystal structure of Tb2Pm2PrMg, from Alexandria.

abc: 6.1517 18.9201 3.4298
angles: 90.00 90.00 90.00
Last column: nearest neighbours and their distance in Å.
Fractional coordinates of all 12 atoms:
Tb: 0.1575 0.2031 0.0000  4 Pm 3.31-3.47, 2 Tb 3.43
Tb: 0.3425 0.7031 0.5000  4 Pm 3.31-3.47, 2 Tb 3.43
Tb: 0.6575 0.2969 0.5000  4 Pm 3.31-3.47, 2 Tb 3.43
Tb: 0.8425 0.7969 0.0000  4 Pm 3.31-3.47, 2 Tb 3.43
Pm: 0.1579 0.3623 0.5000  2 Mg 3.27, 4 Tb 3.31-3.47, 1 Pr 3.35, 2 Pm 3.43
Pm: 0.3421 0.8623 0.0000  2 Mg 3.27, 4 Tb 3.31-3.47, 1 Pr 3.35, 2 Pm 3.43
Pm: 0.6579 0.1377 0.0000  2 Mg 3.27, 4 Tb 3.31-3.47, 1 Pr 3.35, 2 Pm 3.43
Pm: 0.8421 0.6377 0.5000  2 Mg 3.27, 4 Tb 3.31-3.47, 1 Pr 3.35, 2 Pm 3.43
Pr: 0.0000 0.0000 0.0000  2 Pm 3.35, 2 Pr 3.43, 4 Mg 3.52
Pr: 0.5000 0.5000 0.5000  2 Pm 3.35, 2 Pr 3.43, 4 Mg 3.52
Mg: 0.0000 0.5000 0.0000  4 Pm 3.27, 2 Mg 3.43, 4 Pr 3.52
Mg: 0.5000 0.0000 0.5000  4 Pm 3.27, 2 Mg 3.43, 4 Pr 3.52

Computed properties:
Density of states at the Fermi level ... 1.410 states/eV/atom
Final energy ... -47.6 eV per cell
Symmetry ... Pnnm (58)



The following is a PBE calculation of an optimized crystal structure of TbPm5Pr2Mg, from Alexandria.

abc: 10.5442 10.5442 10.7795
angles: 90.00 90.00 149.32
Last column: nearest neighbours and their distance in Å.
Fractional coordinates of all 18 atoms:
Tb: 0.2010 0.7990 0.5000  8 Pm 3.51-3.80, 2 Mg 3.52, 2 Pr 3.58
Tb: 0.7990 0.2010 0.0000  8 Pm 3.51-3.80, 2 Mg 3.52, 2 Pr 3.58
Pm: 0.0142 0.9858 0.5000  2 Mg 3.24, 2 Pr 3.47-3.48
Pm: 0.2881 0.7119 0.1972  1 Mg 3.19, 2 Pm 3.39, 2 Tb 3.51, 3 Pr 3.51-3.55
Pm: 0.2878 0.7122 0.8027  1 Mg 3.19, 2 Pm 3.39, 3 Pr 3.51-3.56, 2 Tb 3.52
Pm: 0.3797 0.6203 0.5000  4 Pr 3.59, 1 Tb 3.63, 6 Pm 3.64-3.91
Pm: 0.4999 0.5001 0.2497  2 Mg 3.32, 2 Pm 3.64, 4 Pr 3.67
Pm: 0.5001 0.4999 0.7497  2 Mg 3.32, 2 Pm 3.64, 4 Pr 3.67
Pm: 0.6203 0.3797 0.0000  4 Pr 3.59, 1 Tb 3.63, 6 Pm 3.64-3.91
Pm: 0.7122 0.2878 0.3027  1 Mg 3.19, 2 Pm 3.39, 3 Pr 3.51-3.56, 2 Tb 3.52
Pm: 0.7119 0.2881 0.6972  1 Mg 3.19, 2 Pm 3.39, 2 Tb 3.51, 3 Pr 3.51-3.55
Pm: 0.9858 0.0142 0.0000  2 Mg 3.24, 2 Pr 3.47-3.48
Pr: 0.1154 0.8846 0.2101  9 Pm 3.48-3.74, 1 Tb 3.58
Pr: 0.1153 0.8847 0.7899  9 Pm 3.47-3.74, 1 Tb 3.58
Pr: 0.8847 0.1153 0.2899  9 Pm 3.47-3.74, 1 Tb 3.58
Pr: 0.8846 0.1154 0.7101  9 Pm 3.48-3.74, 1 Tb 3.58
Mg: 0.4048 0.5952 0.9992  6 Pm 3.19-3.32, 2 Tb 3.52
Mg: 0.5952 0.4048 0.4992  6 Pm 3.19-3.32, 2 Tb 3.52

Computed properties:
Density of states at the Fermi level ... 1.422 states/eV/atom
Final energy ... -77.5 eV per cell
Symmetry ... Cmc2_1 (36)



The following is a PBE calculation of an optimized crystal structure of Tb4Pm2PrMg, from Alexandria.

abc: 5.0030 5.0138 10.2347
angles: 90.00 90.00 90.00
Last column: nearest neighbours and their distance in Å.
Fractional coordinates of all 8 atoms:
Tb: 0.0000 0.0000 0.2457  4 Tb 3.54, 2 Mg 3.55, 4 Pm 3.55-3.61, 2 Pr 3.61
Tb: 0.0000 0.0000 0.7543  4 Tb 3.54, 2 Mg 3.55, 4 Pm 3.55-3.61, 2 Pr 3.61
Tb: 0.5000 0.5000 0.2456  4 Tb 3.54, 4 Pm 3.55-3.61, 2 Mg 3.55, 2 Pr 3.61
Tb: 0.5000 0.5000 0.7544  4 Tb 3.54, 4 Pm 3.55-3.61, 2 Mg 3.55, 2 Pr 3.61
Pm: 0.0000 0.5000 0.0000  4 Mg 3.54, 8 Tb 3.55
Pm: 0.5000 0.0000 0.5000  4 Pr 3.54, 8 Tb 3.61
Pr: 0.0000 0.5000 0.5000  4 Pm 3.54, 8 Tb 3.61
Mg: 0.5000 0.0000 0.0000  4 Pm 3.54, 8 Tb 3.55

Computed properties:
Density of states at the Fermi level ... 1.439 states/eV/atom
Final energy ... -34.2 eV per cell
Symmetry ... Pmmm (47)



The following is a PBE calculation of an optimized crystal structure of Tb5PmPr2Mg, from Alexandria.

abc: 10.4539 10.4539 10.6308
angles: 90.00 90.00 149.36
Last column: nearest neighbours and their distance in Å.
Fractional coordinates of all 18 atoms:
Tb: 0.9996 0.0004 0.0000  2 Mg 3.26, 2 Tb 3.55, 4 Pr 3.63-3.65
Tb: 0.0004 0.9996 0.5000  2 Mg 3.26, 2 Tb 3.55, 4 Pr 3.63-3.65
Tb: 0.1167 0.8833 0.7508  4 Pr 3.54-3.55, 6 Tb 3.55-3.81, 1 Pm 3.63
Tb: 0.2101 0.7899 0.4492  1 Mg 3.17, 2 Tb 3.37, 2 Pm 3.48, 3 Pr 3.50-3.52
Tb: 0.2109 0.7891 0.0521  1 Mg 3.16, 2 Tb 3.37, 2 Pm 3.48, 3 Pr 3.50
Tb: 0.4869 0.5131 0.7508  2 Mg 3.21, 2 Pr 3.41-3.42
Tb: 0.5131 0.4869 0.2508  2 Mg 3.21, 2 Pr 3.41-3.42
Tb: 0.7891 0.2109 0.5521  1 Mg 3.16, 2 Tb 3.37, 2 Pm 3.48, 3 Pr 3.50
Tb: 0.7899 0.2101 0.9492  1 Mg 3.17, 2 Tb 3.37, 2 Pm 3.48, 3 Pr 3.50-3.52
Tb: 0.8833 0.1167 0.2508  4 Pr 3.54-3.55, 6 Tb 3.55-3.81, 1 Pm 3.63
Pm: 0.2968 0.7032 0.7508  8 Tb 3.48-3.83, 2 Mg 3.54, 2 Pr 3.56
Pm: 0.7032 0.2968 0.2508  8 Tb 3.48-3.83, 2 Mg 3.54, 2 Pr 3.56
Pr: 0.3844 0.6156 0.4600  9 Tb 3.42-3.72, 1 Pm 3.56
Pr: 0.3845 0.6155 0.0418  9 Tb 3.41-3.72, 1 Pm 3.56
Pr: 0.6155 0.3845 0.5418  9 Tb 3.41-3.72, 1 Pm 3.56
Pr: 0.6156 0.3844 0.9600  9 Tb 3.42-3.72, 1 Pm 3.56
Mg: 0.0938 0.9062 0.2491  6 Tb 3.16-3.26, 2 Pm 3.54
Mg: 0.9062 0.0938 0.7491  6 Tb 3.16-3.26, 2 Pm 3.54

Computed properties:
Density of states at the Fermi level ... 1.396 states/eV/atom
Final energy ... -76.5 eV per cell
Symmetry ... Cmc2_1 (36)



The following is a PBE calculation of an optimized crystal structure of Tb6PmPr2Mg, from Alexandria.

abc: 8.6963 8.6963 9.6757
angles: 94.60 94.60 116.15
Last column: nearest neighbours and their distance in Å.
Fractional coordinates of all 20 atoms:
Tb: 0.0092 0.5709 0.1902  3 Tb 3.31-3.62, 1 Mg 3.34, 2 Pr 3.42-3.69, 1 Pm 3.57
Tb: 0.1204 0.7454 0.5541  8 Tb 3.47-3.84, 1 Pm 3.55, 1 Pr 3.58, 1 Mg 3.71
Tb: 0.2546 0.8796 0.9459  8 Tb 3.47-3.84, 1 Pm 3.55, 1 Pr 3.58, 1 Mg 3.71
Tb: 0.3007 0.5088 0.3872  3 Pr 3.20-3.44, 4 Tb 3.31-3.47, 2 Mg 3.42-3.49
Tb: 0.4291 0.9908 0.3098  3 Tb 3.31-3.62, 1 Mg 3.34, 2 Pr 3.42-3.69, 1 Pm 3.57
Tb: 0.4912 0.6993 0.1128  3 Pr 3.20-3.44, 4 Tb 3.31-3.47, 2 Mg 3.42-3.49
Tb: 0.5088 0.3007 0.8872  3 Pr 3.20-3.44, 4 Tb 3.31-3.47, 2 Mg 3.42-3.49
Tb: 0.5709 0.0092 0.6902  3 Tb 3.31-3.62, 1 Mg 3.34, 2 Pr 3.42-3.69, 1 Pm 3.57
Tb: 0.6993 0.4912 0.6128  3 Pr 3.20-3.44, 4 Tb 3.31-3.47, 2 Mg 3.42-3.49
Tb: 0.7454 0.1204 0.0541  8 Tb 3.47-3.84, 1 Pm 3.55, 1 Pr 3.58, 1 Mg 3.71
Tb: 0.8796 0.2546 0.4459  8 Tb 3.47-3.84, 1 Pm 3.55, 1 Pr 3.58, 1 Mg 3.71
Tb: 0.9908 0.4291 0.8098  3 Tb 3.31-3.62, 1 Mg 3.34, 2 Pr 3.42-3.69, 1 Pm 3.57
Pm: 0.0153 0.9847 0.2500  4 Pr 3.36-3.47, 4 Tb 3.55-3.57
Pm: 0.9847 0.0153 0.7500  4 Pr 3.36-3.47, 4 Tb 3.55-3.57
Pr: 0.2029 0.2995 0.0509  5 Tb 3.20-3.58, 2 Pm 3.36-3.47, 1 Mg 3.49
Pr: 0.2995 0.2029 0.5509  5 Tb 3.20-3.58, 2 Pm 3.36-3.47, 1 Mg 3.49
Pr: 0.7005 0.7971 0.4491  5 Tb 3.20-3.58, 2 Pm 3.36-3.47, 1 Mg 3.49
Pr: 0.7971 0.7005 0.9491  5 Tb 3.20-3.58, 2 Pm 3.36-3.47, 1 Mg 3.49
Mg: 0.4032 0.5968 0.7500  8 Tb 3.34-3.71, 2 Pr 3.49
Mg: 0.5968 0.4032 0.2500  8 Tb 3.34-3.71, 2 Pr 3.49

Computed properties:
Density of states at the Fermi level ... 1.195 states/eV/atom
Final energy ... -85.1 eV per cell
Symmetry ... C2/c (15)



The following is a PBE calculation of an optimized crystal structure of PmPr2MgTe5, from Alexandria.

abc: 9.8436 9.8436 13.6358
angles: 90.00 90.00 154.14
Last column: nearest neighbours and their distance in Å.
Fractional coordinates of all 18 atoms:
Pm: 0.2049 0.7951 0.5000  6 Te 3.11-3.17
Pm: 0.7951 0.2049 0.0000  6 Te 3.11-3.17
Pr: 0.1119 0.8881 0.1738  8 Te 3.30-3.41
Pr: 0.1335 0.8665 0.7928  8 Te 3.24-3.52
Pr: 0.8665 0.1335 0.2928  8 Te 3.24-3.52
Pr: 0.8881 0.1119 0.6738  8 Te 3.30-3.41
Mg: 0.4483 0.5517 0.9468  4 Te 2.69-2.99
Mg: 0.5517 0.4483 0.4468  4 Te 2.69-2.99
Te: 0.0483 0.9517 0.5649  2 Mg 2.73
Te: 0.2835 0.7165 0.1633  2 Pm 3.14, 3 Pr 3.24-3.30
Te: 0.3146 0.6854 0.8346  1 Mg 2.99, 2 Pm 3.17
Te: 0.3668 0.6332 0.4889  1 Pm 3.11, 4 Pr 3.37-3.46
Te: 0.4955 0.5045 0.2659  1 Mg 2.69
Te: 0.5045 0.4955 0.7659  1 Mg 2.69
Te: 0.6332 0.3668 0.9889  1 Pm 3.11, 4 Pr 3.37-3.46
Te: 0.6854 0.3146 0.3346  1 Mg 2.99, 2 Pm 3.17
Te: 0.7165 0.2835 0.6633  2 Pm 3.14, 3 Pr 3.24-3.30
Te: 0.9517 0.0483 0.0649  2 Mg 2.73

Computed properties:
Density of states at the Fermi level ... 0.202 states/eV/atom
Formation energy (no corrections) ... -1267 meV per atom
Final energy ... -86.0 eV per cell
Symmetry ... Cmc2_1 (36)



The following is a PBE calculation of an optimized crystal structure of Pm3Pr3MgTe8, from Alexandria.

abc: 8.9797 8.9797 8.9797
angles: 59.77 59.77 59.77
Last column: nearest neighbours and their distance in Å.
Fractional coordinates of all 15 atoms:
Pm: 0.0000 0.5000 0.5000  6 Te 3.15
Pm: 0.5000 0.0000 0.5000  6 Te 3.15
Pm: 0.5000 0.5000 0.0000  6 Te 3.15
Pr: 0.0000 0.0000 0.5000  6 Te 3.19
Pr: 0.0000 0.5000 0.0000  6 Te 3.19
Pr: 0.5000 0.0000 0.0000  6 Te 3.19
Mg: 0.0000 0.0000 0.0000  6 Te 3.06
Te: 0.2415 0.2415 0.7554  1 Mg 3.06, 2 Pm 3.15, 2 Pr 3.19
Te: 0.2415 0.7554 0.2415  1 Mg 3.06, 2 Pm 3.15, 2 Pr 3.19
Te: 0.2446 0.7585 0.7585  1 Mg 3.06, 2 Pm 3.15, 2 Pr 3.19
Te: 0.2516 0.2516 0.2516  3 Pm 3.15, 3 Pr 3.19
Te: 0.7484 0.7484 0.7484  3 Pm 3.15, 3 Pr 3.19
Te: 0.7554 0.2415 0.2415  1 Mg 3.06, 2 Pm 3.15, 2 Pr 3.19
Te: 0.7585 0.2446 0.7585  1 Mg 3.06, 2 Pm 3.15, 2 Pr 3.19
Te: 0.7585 0.7585 0.2446  1 Mg 3.06, 2 Pm 3.15, 2 Pr 3.19

Computed properties:
Density of states at the Fermi level ... 0.284 states/eV/atom
Formation energy (no corrections) ... -1361 meV per atom
Final energy ... -75.7 eV per cell
Symmetry ... R-3m (166)



The following is a PBE calculation of an optimized crystal structure of Pm2PrMgTl4, from Alexandria.

abc: 9.6993 9.6993 9.6993
angles: 32.05 32.05 32.05
Last column: nearest neighbours and their distance in Å.
Fractional coordinates of all 8 atoms:
Pm: 0.2415 0.2415 0.2415  7 Tl 3.22-3.37
Pm: 0.7585 0.7585 0.7585  7 Tl 3.22-3.37
Pr: 0.0000 0.0000 0.0000  8 Tl 3.31-3.42
Mg: 0.5000 0.5000 0.5000  8 Tl 3.31-3.41
Tl: 0.1240 0.1240 0.1240  4 Pm 3.22-3.24, 3 Mg 3.31, 1 Pr 3.42
Tl: 0.3764 0.3764 0.3764  3 Pr 3.31, 3 Pm 3.37, 1 Mg 3.41
Tl: 0.6236 0.6236 0.6236  3 Pr 3.31, 3 Pm 3.37, 1 Mg 3.41
Tl: 0.8760 0.8760 0.8760  4 Pm 3.22-3.24, 3 Mg 3.31, 1 Pr 3.42

Computed properties:
Density of states at the Fermi level ... 0.637 states/eV/atom
Final energy ... -27.9 eV per cell
Symmetry ... R-3m (166)



The following is a PBE calculation of an optimized crystal structure of PmPrMgTl, from Alexandria.

abc: 5.5064 5.5064 5.5064
angles: 60.00 60.00 60.00
Last column: nearest neighbours and their distance in Å.
Fractional coordinates of all 4 atoms:
Pm: 0.0000 0.0000 0.0000  4 Tl 3.37, 4 Mg 3.37
Pr: 0.5000 0.5000 0.5000  4 Tl 3.37, 4 Mg 3.37
Mg: 0.2500 0.2500 0.2500  4 Pr 3.37, 4 Pm 3.37
Tl: 0.7500 0.7500 0.7500  4 Pr 3.37, 4 Pm 3.37

Computed properties:
Density of states at the Fermi level ... 1.129 states/eV/atom
Final energy ... -14.5 eV per cell
Symmetry ... F-43m (216)